## TbDy3Cu2 (PBE)

Data for a relaxed structure of TbDy3Cu2.

- density of states at the Fermi level (states/eV per cell) = 5.8
- uncorrected energy (eV/cell) = -27.6
- relative energy among the computed polymorphs (meV/atom) = 0.0
- ΔH_f (0 K) (eV per atom) = -0.154

Cell: 3.490 3.490 12.082 Å, 90.00 90.00 90.00°
Atoms (fractional coordinates):
Tb1 0.000 0.000 0.000
Dy1 0.500 0.500 0.216
Dy2 0.500 0.500 0.500
Dy3 0.500 0.500 0.784
Cu1 0.000 0.000 0.357
Cu2 0.000 0.000 0.643